Entry 1:
A plane-wave DFT calculation with PBE was carried out for HgSe2 after structural relaxation.

Results
Density   7.78 g/cm3
Total moment   0.00 μB per atom
Raw formation energy   214 meV per atom
Fermi-level density of states   0.421 states/eV per atom
Polymorph energy (0 for the lowest one)   235 meV per atom

abc: 4.4529 4.4529 4.4545
angles: 90.00 90.00 120.00
Space group P-3m1 (No. 164)
One atom of each set of equivalent atoms:
Hg (0.0000, 0.0000, 0.0000) [1 per cell]
Se (0.3333, 0.6667, 0.4077) [2 per cell]


Entry 2:
A plane-wave DFT calculation with PBE was carried out for HgSe3 after structural relaxation.

Results
Density   4.66 g/cm3
Total moment   0.60 μB per atom
Raw formation energy   894 meV per atom
Fermi-level density of states   1.430 states/eV per atom

abc: 5.3817 5.3817 5.3817
angles: 90.00 90.00 90.00
Space group Pm-3m (No. 221)
One atom of each set of equivalent atoms:
Hg (0.0000, 0.0000, 0.0000) [1 per cell]
Se (0.0000, 0.0000, 0.5000) [3 per cell]